Record 1
4
Lattice="0.000 4.458 4.458 4.458 0.000 4.458 4.458 4.458 0.000" Properties=species:S:1:pos:R:3 comment="BaAc2Tb, optimized geometry, DFT PBE" polymorph_energy_mev_per_atom=144 formation_energy_kj_per_mol_atoms=21.2 pbc="T T T"
Ba 0.000 0.000 0.000
Ac 2.229 2.229 2.229
Ac 6.686 6.686 6.686
Tb 4.458 4.458 4.458

Record 2
4
Lattice="1.947 1.124 14.168 -1.947 1.124 14.168 0.000 -2.249 14.168" Properties=species:S:1:pos:R:3 comment="Ba2AcTb, optimized geometry, DFT PBE" formation_energy_kj_per_mol_atoms=32.4 pbc="T T T"
Ba 0.000 0.000 3.582
Ba 0.000 0.000 38.921
Ac 0.000 0.000 21.251
Tb 0.000 0.000 0.000

Record 3
4
Lattice="3.854 0.000 0.000 0.000 3.854 0.000 0.000 0.000 10.882" Properties=species:S:1:pos:R:3 comment="BaAcTb2, optimized geometry, DFT PBE" polymorph_energy_mev_per_atom=0 formation_energy_kj_per_mol_atoms=16.1 pbc="T T T"
Ba 0.000 0.000 0.000
Ac 0.000 0.000 5.441
Tb 1.927 1.927 2.950
Tb 1.927 1.927 7.933

Record 4
4
Lattice="5.578 0.000 0.000 0.000 5.578 0.000 0.000 0.000 5.600" Properties=species:S:1:pos:R:3 comment="BaAc2Tb, optimized geometry, DFT PBE" polymorph_energy_mev_per_atom=84 formation_energy_kj_per_mol_atoms=15.4 pbc="T T T"
Ba 0.000 0.000 0.000
Ac 0.000 2.789 2.800
Ac 2.789 0.000 2.800
Tb 2.789 2.789 0.000

Record 5
6
Lattice="4.261 0.000 0.000 0.000 4.261 0.000 0.000 0.000 15.277" Properties=species:S:1:pos:R:3 comment="BaAcTb, optimized geometry, DFT PBE" polymorph_energy_mev_per_atom=0 formation_energy_kj_per_mol_atoms=7.1 pbc="T T T"
Ba 1.065 1.065 1.711
Ba 3.195 3.195 13.565
Ac 1.065 1.065 10.611
Ac 3.195 3.195 4.666
Tb 1.065 1.065 6.815
Tb 3.195 3.195 8.462

Record 6
4
Lattice="1.976 1.141 13.038 -1.976 1.141 13.038 0.000 -2.281 13.038" Properties=species:S:1:pos:R:3 comment="BaAc2Tb, optimized geometry, DFT PBE" polymorph_energy_mev_per_atom=16 formation_energy_kj_per_mol_atoms=8.8 pbc="T T T"
Ba 0.000 0.000 0.000
Ac 0.000 0.000 9.461
Ac 0.000 0.000 16.594
Tb 0.000 0.000 32.585

Record 7
4
Lattice="3.977 0.000 0.000 0.000 3.977 0.000 0.000 0.000 11.224" Properties=species:S:1:pos:R:3 comment="BaAc2Tb, optimized geometry, DFT PBE" polymorph_energy_mev_per_atom=0 formation_energy_kj_per_mol_atoms=7.3 pbc="T T T"
Ba 0.000 0.000 0.000
Ac 1.989 1.989 3.169
Ac 1.989 1.989 8.055
Tb 0.000 0.000 5.612

Record 8
3
Lattice="-1.982 1.982 8.468 1.982 -1.982 8.468 1.982 1.982 -8.468" Properties=species:S:1:pos:R:3 comment="BaAcTb, optimized geometry, DFT PBE" polymorph_energy_mev_per_atom=64 formation_energy_kj_per_mol_atoms=13.2 pbc="T T T"
Ba 0.000 0.000 0.000
Ac 0.000 0.000 5.289
Tb 0.000 0.000 11.375

Record 9
Below is Ba4Ac3TbTe8 after structural relaxation, with properties calculated at the PBE level.

extended XYZ file:
```
16
Lattice="4.772 2.755 7.966 -4.772 2.755 7.966 0.000 -5.510 7.966" Properties=species:S:1:pos:R:3 pbc="T T T"
Ba 0.000 0.000 0.000
Ba -2.386 -1.377 7.966
Ba -2.386 1.377 15.932
Ba 0.000 2.755 7.966
Ac -4.772 0.000 11.949
Ac -2.386 1.377 3.983
Ac 2.386 1.377 3.983
Tb 0.000 0.000 11.949
Te 0.000 0.000 5.877
Te -2.292 -1.323 13.770
Te 0.000 -2.646 10.129
Te -2.292 1.323 10.129
Te 2.292 -1.323 13.770
Te 0.000 2.646 13.770
Te 2.292 1.323 10.129
Te 0.000 0.000 18.022
```

Record 10
12
Lattice="9.768 -4.126 0.000 9.768 4.126 0.000 -2.148 0.000 6.470" Properties=species:S:1:pos:R:3 comment="BaAc4Tc, optimized geometry, DFT PBE" formation_energy_kj_per_mol_atoms=10.0 pbc="T T T"
Ba 3.439 0.000 1.130
Ba 13.950 0.000 5.340
Ac 6.801 2.094 2.515
Ac 9.768 2.019 0.000
Ac 4.608 0.000 5.152
Ac 10.588 2.094 3.955
Ac 6.801 -2.094 2.515
Ac 12.781 0.000 1.318
Ac 9.768 -2.019 0.000
Ac 10.588 -2.094 3.955
Tc 7.850 0.000 4.153
Tc 9.539 0.000 2.317

Record 11
Below is BaAc4Te7 after structural relaxation, with properties calculated at the PBE level.

extended XYZ file:
```
12
Lattice="7.849 -2.329 0.000 7.849 2.329 0.000 -3.832 0.000 13.673" Properties=species:S:1:pos:R:3 pbc="T T T"
Ba 0.000 0.000 0.000
Ac 0.408 0.000 5.758
Ac 0.360 0.000 11.515
Ac 4.386 0.000 8.579
Ac 12.021 0.000 3.253
Te -1.149 0.000 8.608
Te 1.847 0.000 2.859
Te 5.434 0.000 0.983
Te 5.897 0.000 5.159
Te 5.918 0.000 11.956
Te 10.573 0.000 6.483
Te 10.366 0.000 10.453
```

Record 12
4
Lattice="4.217 0.000 0.000 0.000 4.217 0.000 0.000 0.000 10.542" Properties=species:S:1:pos:R:3 comment="Ba2AcTe, optimized geometry, DFT PBE" polymorph_energy_mev_per_atom=0 pbc="T T T"
Ba 0.000 0.000 2.046
Ba 0.000 0.000 8.496
Ac 2.109 2.109 5.271
Te 2.109 2.109 0.000

In Å³/atom, the volume values for the records above are, in order, 44.29; 46.53; 40.41; 43.56; 46.22; 44.08; 44.39; 44.34; 39.27; 43.46; 41.66; 46.87.
In eV/atom, the electronic total energy values for the records above are, in order, -3.473; -2.810; -3.656; -3.533; -3.480; -3.601; -3.617; -3.417; -4.711; -4.684; -4.950; -3.431.